[1]
# GGA-PBE Li12Mg3Tl, relaxed
data_Li12Mg3Tl
_chemical_formula_sum 'Li12 Mg3 Tl1'
_cell_length_a 4.2625
_cell_length_b 4.2625
_cell_length_c 17.4468
_cell_angle_alpha 90.00
_cell_angle_beta 90.00
_cell_angle_gamma 90.00
_space_group_name_H-M_alt 'P 4/m m m'
_space_group_IT_number 123
_space_group_name_Hall '-P 4 2'
loop_
_atom_site_label
_atom_site_fract_x
_atom_site_fract_y
_atom_site_fract_z
_atom_site_occupancy
Li1 0.0000 0.0000 0.0000 1
Li2 0.0000 0.0000 0.2458 1
Li3 0.0000 0.0000 0.5000 1
Li4 0.0000 0.5000 0.1183 1
Li5 0.0000 0.5000 0.3720 1
Mg1 0.5000 0.5000 0.2442 1
Mg2 0.5000 0.5000 0.5000 1
Tl1 0.5000 0.5000 0.0000 1
# **Magnetic moment**: 0.0 Bohr magnetons per cell
# **Calculated total energy**: -1.953 eV per atom

***

[2]
# GGA-PBE Li2Mg5Tl12, relaxed
data_Li2Mg5Tl12
_chemical_formula_sum 'Li4 Mg10 Tl24'
_cell_length_a 15.6164
_cell_length_b 8.7556
_cell_length_c 7.7215
_cell_angle_alpha 90.00
_cell_angle_beta 99.74
_cell_angle_gamma 90.00
_space_group_name_H-M_alt 'C 1 2/m 1'
_space_group_IT_number 12
_space_group_name_Hall '-C 2y'
loop_
_atom_site_label
_atom_site_fract_x
_atom_site_fract_y
_atom_site_fract_z
_atom_site_occupancy
Li1 0.0000 0.2034 0.0000 1
Mg1 0.0000 0.5000 0.5000 1
Mg2 0.1663 0.0000 0.0879 1
Mg3 0.2389 0.0000 0.7142 1
Tl1 0.0345 0.0000 0.7087 1
Tl2 0.0674 0.5000 0.1676 1
Tl3 0.1455 0.2132 0.4068 1
Tl4 0.1585 0.3138 0.8459 1
# **Magnetic moment**: 0.0 Bohr magnetons per cell
# **Calculated total energy**: -2.096 eV per atom

***

[3]
# GGA-PBE LiMg5Tl3, relaxed
data_LiMg5Tl3
_chemical_formula_sum 'Li4 Mg20 Tl12'
_cell_length_a 10.2745
_cell_length_b 10.0379
_cell_length_c 10.8012
_cell_angle_alpha 90.00
_cell_angle_beta 115.64
_cell_angle_gamma 90.00
_space_group_name_H-M_alt 'C 1 2/m 1'
_space_group_IT_number 12
_space_group_name_Hall '-C 2y'
loop_
_atom_site_label
_atom_site_fract_x
_atom_site_fract_y
_atom_site_fract_z
_atom_site_occupancy
Li1 0.0798 0.0000 0.2862 1
Mg1 0.0000 0.2735 0.5000 1
Mg2 0.0409 0.5000 0.8860 1
Mg3 0.1909 0.5000 0.4175 1
Mg4 0.1944 0.2239 0.1219 1
Tl1 0.0000 0.0000 0.0000 1
Tl2 0.0000 0.0000 0.5000 1
Tl3 0.1430 0.5000 0.6792 1
Tl4 0.2191 0.0000 0.8326 1
# **Magnetic moment**: 0.0 Bohr magnetons per cell
# **Calculated total energy**: -1.773 eV per atom

***

[4]
# GGA-PBE LiMgTl, relaxed
data_LiMgTl
_chemical_formula_sum 'Li2 Mg2 Tl2'
_cell_length_a 4.8986
_cell_length_b 4.8986
_cell_length_c 6.1126
_cell_angle_alpha 90.00
_cell_angle_beta 90.00
_cell_angle_gamma 120.00
_space_group_name_H-M_alt 'P 63/m m c'
_space_group_IT_number 194
_space_group_name_Hall '-P 6c 2c'
loop_
_atom_site_label
_atom_site_fract_x
_atom_site_fract_y
_atom_site_fract_z
_atom_site_occupancy
Li1 0.3333 0.6667 0.2500 1
Mg1 0.0000 0.0000 0.0000 1
Tl1 0.3333 0.6667 0.7500 1
# **Magnetic moment**: 0.0 Bohr magnetons per cell
# **Calculated total energy**: -2.140 eV per atom

***

[5]
# GGA-PBE Li5MgTl6, relaxed
data_Li5MgTl6
_chemical_formula_sum 'Li10 Mg2 Tl12'
_cell_length_a 4.8867
_cell_length_b 14.6095
_cell_length_c 7.3311
_cell_angle_alpha 90.00
_cell_angle_beta 90.00
_cell_angle_gamma 90.00
_space_group_name_H-M_alt 'C m m m'
_space_group_IT_number 65
_space_group_name_Hall '-C 2 2'
loop_
_atom_site_label
_atom_site_fract_x
_atom_site_fract_y
_atom_site_fract_z
_atom_site_occupancy
Li1 0.0000 0.0000 0.0000 1
Li2 0.0000 0.3347 0.0000 1
Li3 0.0000 0.3351 0.5000 1
Mg1 0.0000 0.0000 0.5000 1
Tl1 0.0000 0.1693 0.2439 1
Tl2 0.0000 0.5000 0.2417 1
# **Magnetic moment**: 0.0 Bohr magnetons per cell
# **Calculated total energy**: -2.310 eV per atom

***

[6]
# GGA-PBE Li3Mg2Tl6, relaxed
data_Li3Mg2Tl6
_chemical_formula_sum 'Li6 Mg4 Tl12'
_cell_length_a 5.3536
_cell_length_b 5.3536
_cell_length_c 21.6516
_cell_angle_alpha 90.00
_cell_angle_beta 90.00
_cell_angle_gamma 90.00
_space_group_name_H-M_alt 'I 4/m m m'
_space_group_IT_number 139
_space_group_name_Hall '-I 4 2'
loop_
_atom_site_label
_atom_site_fract_x
_atom_site_fract_y
_atom_site_fract_z
_atom_site_occupancy
Li1 0.0000 0.0000 0.0000 1
Li2 0.0000 0.0000 0.1559 1
Mg1 0.0000 0.0000 0.4355 1
Tl1 0.0000 0.0000 0.2837 1
Tl2 0.0000 0.5000 0.1127 1
# **Magnetic moment**: 0.0 Bohr magnetons per cell
# **Calculated total energy**: -2.035 eV per atom

***

[7]
# GGA-PBE Li6Mg3Tl2, relaxed
data_Li6Mg3Tl2
_chemical_formula_sum 'Li6 Mg3 Tl2'
_cell_length_a 8.5657
_cell_length_b 3.2343
_cell_length_c 9.0302
_cell_angle_alpha 90.00
_cell_angle_beta 114.22
_cell_angle_gamma 90.00
_space_group_name_H-M_alt 'P 1 2/m 1'
_space_group_IT_number 10
_space_group_name_Hall '-P 2y'
loop_
_atom_site_label
_atom_site_fract_x
_atom_site_fract_y
_atom_site_fract_z
_atom_site_occupancy
Li1 0.0678 0.0000 0.3898 1
Li2 0.3974 0.0000 0.0837 1
Li3 0.4007 0.0000 0.5882 1
Mg1 0.0000 0.0000 0.0000 1
Mg2 0.2445 0.5000 0.7805 1
Tl1 0.2775 0.5000 0.2795 1
# **Magnetic moment**: 0.0 Bohr magnetons per cell
# **Calculated total energy**: -1.991 eV per atom

***

[8]
# GGA-PBE LiTm2MgTl4, relaxed
data_LiTm2MgTl4
_chemical_formula_sum 'Li3 Tm6 Mg3 Tl12'
_cell_length_a 5.1966
_cell_length_b 5.1966
_cell_length_c 25.3911
_cell_angle_alpha 90.00
_cell_angle_beta 90.00
_cell_angle_gamma 120.00
_space_group_name_H-M_alt 'R -3 m'
_space_group_IT_number 166
_space_group_name_Hall '-R 3 2"'
loop_
_atom_site_label
_atom_site_fract_x
_atom_site_fract_y
_atom_site_fract_z
_atom_site_occupancy
Li1 0.0000 0.0000 0.0000 1
Tm1 0.0000 0.0000 0.2487 1
Mg1 0.0000 0.0000 0.5000 1
Tl1 0.0000 0.0000 0.1225 1
Tl2 0.0000 0.0000 0.3728 1
# **Magnetic moment**: 0.0 Bohr magnetons per cell
# **Calculated total energy**: -2.977 eV per atom

***

[9]
# GGA-PBE LiTmMgTl, relaxed
data_LiTmMgTl
_chemical_formula_sum 'Li2 Tm2 Mg2 Tl2'
_cell_length_a 5.0480
_cell_length_b 5.0480
_cell_length_c 7.1269
_cell_angle_alpha 90.00
_cell_angle_beta 90.00
_cell_angle_gamma 90.00
_space_group_name_H-M_alt 'I -4 m 2'
_space_group_IT_number 119
_space_group_name_Hall 'I -4 -2'
loop_
_atom_site_label
_atom_site_fract_x
_atom_site_fract_y
_atom_site_fract_z
_atom_site_occupancy
Li1 0.0000 0.0000 0.0000 1
Tm1 0.0000 0.5000 0.2500 1
Mg1 0.0000 0.5000 0.7500 1
Tl1 0.0000 0.0000 0.5000 1
# **Magnetic moment**: 0.0 Bohr magnetons per cell
# **Calculated total energy**: -2.758 eV per atom

***

[10]
# GGA-PBE LiTmMg2Tl4, relaxed
data_LiTmMg2Tl4
_chemical_formula_sum 'Li3 Tm3 Mg6 Tl12'
_cell_length_a 5.1284
_cell_length_b 5.1284
_cell_length_c 25.5345
_cell_angle_alpha 90.00
_cell_angle_beta 90.00
_cell_angle_gamma 120.00
_space_group_name_H-M_alt 'R -3 m'
_space_group_IT_number 166
_space_group_name_Hall '-R 3 2"'
loop_
_atom_site_label
_atom_site_fract_x
_atom_site_fract_y
_atom_site_fract_z
_atom_site_occupancy
Li1 0.0000 0.0000 0.0000 1
Tm1 0.0000 0.0000 0.5000 1
Mg1 0.0000 0.0000 0.2494 1
Tl1 0.0000 0.0000 0.1197 1
Tl2 0.0000 0.0000 0.3712 1
# **Magnetic moment**: 0.0 Bohr magnetons per cell
# **Calculated total energy**: -2.559 eV per atom